1.
La2Fe3B12Ir | PBE-GGA | optimized geometry

Output
Its density of states at the Fermi level is 8.43 states/eV per cell. The space group is R-3m. The value obtained for the energy relative to the elements is 26 kJ/mol of formula units. The total magnetization is 5.95 μB/cell.

Cell: 8.307 8.307 8.307 Å, 38.93 38.93 38.93°
Last column: magnetic moment on the atom in μB.
Positions (direct):
Ir: 0.000 0.000 0.000  -0.09
B: 0.948 0.948 0.334  -0.01
Fe: 0.000 0.500 0.000  -1.91
B: 0.666 0.052 0.052  -0.01
B: 0.052 0.052 0.666  -0.01
B: 0.948 0.334 0.948  -0.01
Fe: 0.000 0.000 0.500  -1.91
B: 0.660 0.972 0.660  0.01
B: 0.028 0.340 0.340  0.01
Fe: 0.500 0.000 0.000  -1.91
B: 0.334 0.948 0.948  -0.01
B: 0.972 0.660 0.660  0.01
B: 0.052 0.666 0.052  -0.01
B: 0.340 0.028 0.340  0.01
La: 0.640 0.640 0.640  -0.02
B: 0.340 0.340 0.028  0.01
B: 0.660 0.660 0.972  0.01
La: 0.360 0.360 0.360  -0.02

=====

2.
Mg2FeB2Ir5 | PBE-GGA | optimized geometry

Output
Its density of states at the Fermi level is 9.04 states/eV per cell. The space group is P4/mbm. The value obtained for the energy relative to the elements is -398 kJ/mol of formula units. The total magnetization is 7.20 μB/cell.

Cell: 9.476 9.476 2.922 Å, 90.00 90.00 90.00°
Last column: magnetic moment on the atom in μB.
Positions (direct):
Ir: 0.714 0.570 0.500  0.15
Ir: 0.570 0.286 0.500  0.15
Fe: 0.000 0.000 0.000  2.95
B: 0.374 0.874 0.000  0.00
Ir: 0.214 0.930 0.500  0.15
Ir: 0.786 0.070 0.500  0.15
Ir: 0.930 0.786 0.500  0.15
Ir: 0.430 0.714 0.500  0.15
B: 0.874 0.626 0.000  0.00
Ir: 0.286 0.430 0.500  0.15
Mg: 0.677 0.823 0.000  0.00
B: 0.626 0.126 0.000  0.00
Ir: 0.000 0.500 0.500  0.02
Mg: 0.323 0.177 0.000  0.00
Mg: 0.823 0.323 0.000  0.00
Mg: 0.177 0.677 0.000  0.00
Ir: 0.070 0.214 0.500  0.15
Ir: 0.500 0.000 0.500  0.02
B: 0.126 0.374 0.000  0.00
Fe: 0.500 0.500 0.000  2.95

=====

3.
NaFeB2Ir | PBE-GGA | optimized geometry

Output
Its density of states at the Fermi level is 2.43 states/eV per cell. The space group is P4/mmm. The value obtained for the energy relative to the elements is 721 kJ/mol of formula units. The total magnetization is 0.01 μB/cell.

Cell: 3.794 4.364 3.794 Å, 90.00 90.00 90.00°
Positions (direct):
B: 0.000 0.000 0.500
Ir: 0.500 0.500 0.500
Na: 0.000 0.500 0.000
Fe: 0.000 0.000 0.000
B: 0.500 0.000 0.000